A geometry-optimized Rb3NaS structure. Source: Alexandria, functional PBE.

Energy relative to the lowest polymorph listed for this composition = 0.0 meV/atom
Energy = -11.0 eV for the cell shown
Uncorrected formation energy = -0.526 eV per atom
Magnetization = 0.0 μB per cell

CIF file:
```
data_Rb3NaS
_cell_length_a 6.537
_cell_length_b 6.537
_cell_length_c 6.537
_cell_angle_alpha 90.00
_cell_angle_beta 90.00
_cell_angle_gamma 90.00
_space_group_name_H-M_alt 'P 1'
_space_group_IT_number 1
loop_
_space_group_symop_operation_xyz
'x,y,z'
loop_
_atom_site_label
_atom_site_fract_x
_atom_site_fract_y
_atom_site_fract_z
Rb1 0.000 0.000 0.500
Rb2 0.000 0.500 0.000
Rb3 0.500 0.000 0.000
Na1 0.500 0.500 0.500
S1 0.000 0.000 0.000
```

***

A geometry-optimized Ba3MgBi structure. Source: Alexandria, functional PBE.

Calculated formation energy = -180 meV per atom
Energy relative to the lowest polymorph listed for this composition = 0.0 meV/atom
Energy = -12.1 eV for the cell shown
Magnetization = 1.2 μB per cell

CIF file:
```
data_Ba3MgBi
_cell_length_a 6.772
_cell_length_b 6.772
_cell_length_c 6.772
_cell_angle_alpha 90.00
_cell_angle_beta 90.00
_cell_angle_gamma 90.00
_space_group_name_H-M_alt 'P 1'
_space_group_IT_number 1
loop_
_space_group_symop_operation_xyz
'x,y,z'
loop_
_atom_site_label
_atom_site_fract_x
_atom_site_fract_y
_atom_site_fract_z
Ba1 0.000 0.000 0.500
Ba2 0.000 0.500 0.000
Ba3 0.500 0.000 0.000
Mg1 0.500 0.500 0.500
Bi1 0.000 0.000 0.000
```

***

A geometry-optimized BaSiPt2 structure. Source: Alexandria, functional PBE.

Energy = -45.0 eV for the cell shown
Uncorrected formation energy = -0.769 eV per atom
Magnetization = 0.0 μB per cell

CIF file:
```
data_BaSiPt2
_cell_length_a 8.630
_cell_length_b 8.630
_cell_length_c 8.630
_cell_angle_alpha 144.05
_cell_angle_beta 144.05
_cell_angle_gamma 51.75
_space_group_name_H-M_alt 'P 1'
_space_group_IT_number 1
loop_
_space_group_symop_operation_xyz
'x,y,z'
loop_
_atom_site_label
_atom_site_fract_x
_atom_site_fract_y
_atom_site_fract_z
Ba1 0.000 0.000 0.000
Ba2 0.750 0.250 0.500
Si1 0.250 0.750 0.500
Si2 0.500 0.500 0.000
Pt1 0.374 0.625 0.249
Pt2 0.375 0.624 0.749
Pt3 0.376 0.125 0.751
Pt4 0.875 0.626 0.251
```

***

A geometry-optimized Cr2WCl structure. Source: Alexandria, functional PBE.

Energy relative to the lowest polymorph listed for this composition = 613.7 meV/atom
Energy = -30.7 eV for the cell shown
Uncorrected formation energy = 0.846 eV per atom
Magnetization = 1.7 μB per cell

CIF file:
```
data_Cr2WCl
_cell_length_a 4.385
_cell_length_b 4.385
_cell_length_c 2.918
_cell_angle_alpha 90.00
_cell_angle_beta 90.00
_cell_angle_gamma 90.00
_space_group_name_H-M_alt 'P 1'
_space_group_IT_number 1
loop_
_space_group_symop_operation_xyz
'x,y,z'
loop_
_atom_site_label
_atom_site_fract_x
_atom_site_fract_y
_atom_site_fract_z
Cr1 0.000 0.500 0.000
Cr2 0.500 0.000 0.000
W1 0.000 0.000 0.500
Cl1 0.500 0.500 0.500
```

***

A geometry-optimized ReTcSe2Br structure. Source: Alexandria, functional PBE.

Energy relative to the lowest polymorph listed for this composition = 0.0 meV/atom
Energy = -25.9 eV for the cell shown
Uncorrected formation energy = 1.118 eV per atom
Magnetization = 4.5 μB per cell

CIF file:
```
data_ReTcSe2Br
_cell_length_a 4.818
_cell_length_b 4.818
_cell_length_c 5.326
_cell_angle_alpha 90.00
_cell_angle_beta 90.00
_cell_angle_gamma 90.00
_space_group_name_H-M_alt 'P 1'
_space_group_IT_number 1
loop_
_space_group_symop_operation_xyz
'x,y,z'
loop_
_atom_site_label
_atom_site_fract_x
_atom_site_fract_y
_atom_site_fract_z
Re1 0.000 0.000 0.000
Tc1 0.500 0.500 0.500
Se1 0.000 0.500 0.000
Se2 0.500 0.000 0.000
Br1 0.000 0.000 0.500
```

***

A geometry-optimized DyNpS2 structure. Source: Alexandria, functional PBE.

Energy relative to the lowest polymorph listed for this composition = 535.3 meV/atom
Energy = -30.3 eV for the cell shown
Uncorrected formation energy = -1.128 eV per atom
Magnetization = 4.3 μB per cell

CIF file:
```
data_DyNpS2
_cell_length_a 8.488
_cell_length_b 8.488
_cell_length_c 8.488
_cell_angle_alpha 27.39
_cell_angle_beta 27.39
_cell_angle_gamma 27.39
_space_group_name_H-M_alt 'P 1'
_space_group_IT_number 1
loop_
_space_group_symop_operation_xyz
'x,y,z'
loop_
_atom_site_label
_atom_site_fract_x
_atom_site_fract_y
_atom_site_fract_z
Dy1 0.000 0.000 0.000
Np1 0.500 0.500 0.500
S1 0.108 0.108 0.108
S2 0.892 0.892 0.892
```

***

A geometry-optimized CeZn2GaAu5 structure. Source: Alexandria, functional PBE.

Calculated formation energy = -217 meV per atom
Energy = -29.8 eV for the cell shown
Magnetization = 1.0 μB per cell

CIF file:
```
data_CeZn2GaAu5
_cell_length_a 4.915
_cell_length_b 4.915
_cell_length_c 7.694
_cell_angle_alpha 90.00
_cell_angle_beta 90.00
_cell_angle_gamma 90.00
_space_group_name_H-M_alt 'P 1'
_space_group_IT_number 1
loop_
_space_group_symop_operation_xyz
'x,y,z'
loop_
_atom_site_label
_atom_site_fract_x
_atom_site_fract_y
_atom_site_fract_z
Ce1 0.000 0.000 0.000
Zn1 0.500 0.500 0.345
Zn2 0.500 0.500 0.655
Ga1 0.000 0.000 0.500
Au1 0.000 0.500 0.251
Au2 0.000 0.500 0.749
Au3 0.500 0.000 0.251
Au4 0.500 0.000 0.749
Au5 0.500 0.500 0.000
```

***

A geometry-optimized TiRu2N structure. Source: Alexandria, functional PBE.

Energy = -70.5 eV for the cell shown
Uncorrected formation energy = -0.117 eV per atom
Magnetization = 0.0 μB per cell

CIF file:
```
data_TiRu2N
_cell_length_a 5.361
_cell_length_b 5.361
_cell_length_c 5.361
_cell_angle_alpha 99.88
_cell_angle_beta 99.88
_cell_angle_gamma 131.07
_space_group_name_H-M_alt 'P 1'
_space_group_IT_number 1
loop_
_space_group_symop_operation_xyz
'x,y,z'
loop_
_atom_site_label
_atom_site_fract_x
_atom_site_fract_y
_atom_site_fract_z
Ti1 0.000 0.000 0.000
Ti2 0.750 0.250 0.500
Ru1 0.251 0.125 0.626
Ru2 0.375 0.749 0.874
Ru3 0.499 0.625 0.374
Ru4 0.875 0.501 0.126
N1 0.250 0.750 0.500
N2 0.500 0.500 0.000
```

***

A geometry-optimized BaCaY structure. Source: Alexandria, functional PBE.

Calculated formation energy = 222 meV per atom
Energy relative to the lowest polymorph listed for this composition = 49.9 meV/atom
Energy = -9.7 eV for the cell shown
Magnetization = 0.5 μB per cell

CIF file:
```
data_BaCaY
_cell_length_a 6.838
_cell_length_b 6.838
_cell_length_c 6.838
_cell_angle_alpha 147.43
_cell_angle_beta 131.14
_cell_angle_gamma 59.96
_space_group_name_H-M_alt 'P 1'
_space_group_IT_number 1
loop_
_space_group_symop_operation_xyz
'x,y,z'
loop_
_atom_site_label
_atom_site_fract_x
_atom_site_fract_y
_atom_site_fract_z
Ba1 0.000 0.000 0.000
Ca1 0.322 0.322 0.000
Y1 0.669 0.669 0.000
```

***

A geometry-optimized Ce2HoGa structure. Source: Alexandria, functional PBE.

Calculated formation energy = -287 meV per atom
Energy relative to the lowest polymorph listed for this composition = 0.0 meV/atom
Energy = -41.2 eV for the cell shown
Magnetization = 0.0 μB per cell

CIF file:
```
data_Ce2HoGa
_cell_length_a 4.364
_cell_length_b 4.270
_cell_length_c 11.120
_cell_angle_alpha 90.00
_cell_angle_beta 100.45
_cell_angle_gamma 90.00
_space_group_name_H-M_alt 'P 1'
_space_group_IT_number 1
loop_
_space_group_symop_operation_xyz
'x,y,z'
loop_
_atom_site_label
_atom_site_fract_x
_atom_site_fract_y
_atom_site_fract_z
Ce1 0.014 0.250 0.123
Ce2 0.394 0.250 0.874
Ce3 0.606 0.750 0.126
Ce4 0.986 0.750 0.877
Ho1 0.302 0.750 0.601
Ho2 0.698 0.250 0.399
Ga1 0.177 0.750 0.331
Ga2 0.823 0.250 0.669
```

***

A geometry-optimized PuCdH structure. Source: Alexandria, functional PBE.

Energy relative to the lowest polymorph listed for this composition = 0.0 meV/atom
Energy = -38.5 eV for the cell shown
Magnetization = 11.8 μB per cell

CIF file:
```
data_PuCdH
_cell_length_a 3.224
_cell_length_b 3.224
_cell_length_c 10.021
_cell_angle_alpha 90.00
_cell_angle_beta 90.00
_cell_angle_gamma 90.00
_space_group_name_H-M_alt 'P 1'
_space_group_IT_number 1
loop_
_space_group_symop_operation_xyz
'x,y,z'
loop_
_atom_site_label
_atom_site_fract_x
_atom_site_fract_y
_atom_site_fract_z
Pu1 0.250 0.250 0.148
Pu2 0.750 0.750 0.852
Cd1 0.250 0.250 0.607
Cd2 0.750 0.750 0.393
H1 0.250 0.250 0.917
H2 0.750 0.750 0.083
```

***

A geometry-optimized SmHgRh structure. Source: Alexandria, functional PBE.

Calculated formation energy = -470 meV per atom
Energy = -13.8 eV for the cell shown
Magnetization = 0.0 μB per cell

CIF file:
```
data_SmHgRh
_cell_length_a 4.714
_cell_length_b 4.714
_cell_length_c 4.714
_cell_angle_alpha 60.00
_cell_angle_beta 60.00
_cell_angle_gamma 60.00
_space_group_name_H-M_alt 'P 1'
_space_group_IT_number 1
loop_
_space_group_symop_operation_xyz
'x,y,z'
loop_
_atom_site_label
_atom_site_fract_x
_atom_site_fract_y
_atom_site_fract_z
Sm1 0.000 0.000 0.000
Hg1 0.500 0.500 0.500
Rh1 0.250 0.250 0.250
```

***

A geometry-optimized ZnInSe structure. Source: Alexandria, functional PBE.

Energy relative to the lowest polymorph listed for this composition = 263.8 meV/atom
Energy = -7.5 eV for the cell shown
Uncorrected formation energy = -0.012 eV per atom
Magnetization = 0.0 μB per cell

CIF file:
```
data_ZnInSe
_cell_length_a 4.735
_cell_length_b 4.735
_cell_length_c 4.735
_cell_angle_alpha 60.00
_cell_angle_beta 60.00
_cell_angle_gamma 60.00
_space_group_name_H-M_alt 'P 1'
_space_group_IT_number 1
loop_
_space_group_symop_operation_xyz
'x,y,z'
loop_
_atom_site_label
_atom_site_fract_x
_atom_site_fract_y
_atom_site_fract_z
Zn1 0.000 0.000 0.000
In1 0.750 0.750 0.750
Se1 0.250 0.250 0.250
```